Below is CsCrRuO6 after structural relaxation, with properties calculated at the PBE with a Hubbard U level.

Geometry as extended XYZ:
```
9
Lattice="-3.0785 3.6783 2.0820 -2.5536 -0.9468 4.4639 4.9896 2.2858 3.3413" Properties=species:S:1:pos:R:3 pbc="T T T"
O -1.2302 2.0989 4.3462
O -2.4980 1.6272 6.5635
O 0.5752 2.9260 5.5543
O -0.6926 2.4542 7.7716
O -2.7597 3.9248 5.3817
O -0.9542 4.7520 6.5896
Ru 0.6174 2.0533 3.8525
Cr -1.2599 2.9638 6.0345
Cs 1.9112 5.9641 5.4232
```

Summary:
The space group is No. 187. As for the crystal system: hexagonal. The calculation puts the size of the total moment at 1.0 μB/cell. The electronic total energy is -57.9 eV/cell.